# 1
{"formula": "Ce7AlRu2", "functional": "GGA-PBE", "state": "relaxed", "energy_ev_per_atom": -6.397, "magnetic_moment_mub_per_fu": 4.4, "space_group": "No. 65", "dos_ef_per_ev_cell": 29.4, "lattice": [[-1.3800, 3.9584, -2.8594], [-1.3892, -4.8811, -6.0866], [-6.3828, 1.0773, 4.5718]], "species": ["Ce", "Ce", "Al", "Ce", "Ce", "Ce", "Ce", "Ce", "Ru", "Ru"], "frac_coords": [[0.5000, 0.7254, 0.9462], [0.5000, 0.5000, 0.5000], [0.0000, 0.0000, 0.0000], [0.0000, 0.2752, 0.7248], [0.0000, 0.7248, 0.2752], [0.5000, 0.9462, 0.7254], [0.5000, 0.0538, 0.2746], [0.5000, 0.2746, 0.0538], [0.5000, 0.3148, 0.6852], [0.5000, 0.6852, 0.3148]]}

***

# 2
{"formula": "Ce2Al4Ru", "functional": "GGA-PBE", "state": "relaxed", "energy_ev_per_atom": -5.289, "magnetic_moment_mub_per_fu": 0.0, "space_group": "No. 65", "dos_ef_per_ev_cell": 7.7, "lattice": [[3.0372, 0.0000, 0.0000], [0.0000, 4.4348, 0.0000], [0.0000, -2.2174, 10.1483]], "species": ["Ru", "Al", "Ce", "Ce", "Al", "Al", "Al"], "frac_coords": [[0.0000, 0.5000, 0.0000], [0.5000, 0.6019, 0.2039], [0.5000, 0.2111, 0.4222], [0.5000, 0.7889, 0.5778], [0.5000, 0.3981, 0.7961], [0.0000, 0.0657, 0.1313], [0.0000, 0.9343, 0.8687]]}

***

# 3
{"formula": "Ce3AlRu4", "functional": "GGA-PBE", "state": "relaxed", "energy_ev_per_atom": -7.617, "magnetic_moment_mub_per_fu": 0.0, "space_group": "No. 44", "dos_ef_per_ev_cell": 7.0, "lattice": [[0.0788, 1.1497, -6.0447], [-4.9453, -2.0054, 3.0640], [0.0787, 4.5388, 4.1545]], "species": ["Ru", "Ce", "Ru", "Ce", "Ru", "Al", "Ce", "Ru"], "frac_coords": [[0.0995, 0.2296, 0.3291], [0.8854, 0.0000, 0.8854], [0.0995, 0.7704, 0.8699], [0.5979, 0.2965, 0.8944], [0.1064, 0.7595, 0.3469], [0.1771, 0.5000, 0.6771], [0.5979, 0.7035, 0.3014], [0.5873, 0.2405, 0.3469]]}

***

# 4
{"formula": "CeAlRu2", "functional": "GGA-PBE", "state": "relaxed", "energy_ev_per_atom": -7.453, "magnetic_moment_mub_per_fu": 0.0, "space_group": "No. 123", "dos_ef_per_ev_cell": 2.5, "lattice": [[-3.1986, 0.1128, 0.4854], [-0.2562, -3.0768, -0.9731], [0.8547, -1.9992, 6.0963]], "species": ["Al", "Ce", "Ru", "Ru"], "frac_coords": [[0.5000, 0.5000, 0.0000], [0.5000, 0.5000, 0.5000], [0.0000, 0.0000, 0.7802], [0.0000, 0.0000, 0.2198]]}

***

# 5
{"formula": "Ce2AlRu", "functional": "GGA-PBE", "state": "relaxed", "energy_ev_per_atom": -6.721, "magnetic_moment_mub_per_fu": 0.0, "space_group": "No. 185", "dos_ef_per_ev_cell": 33.3, "lattice": [[4.1449, 6.2984, -2.0306], [-4.2114, -3.7991, -5.3669], [-7.6707, 5.6900, 1.9913]], "species": ["Al", "Al", "Ce", "Ce", "Ce", "Ru", "Ce", "Al", "Al", "Ru", "Ce", "Al", "Ru", "Ru", "Ce", "Ce", "Ce", "Ru", "Ce", "Ce", "Ru", "Ce", "Ce", "Al"], "frac_coords": [[0.6667, 0.3333, 0.7686], [0.0000, 0.0000, 0.9231], [0.5841, 0.0000, 0.5034], [0.4159, 0.0000, 0.0034], [0.5841, 0.5841, 0.0034], [0.6585, 0.0000, 0.8397], [0.2610, 0.0000, 0.6750], [0.3333, 0.6667, 0.7686], [0.6667, 0.3333, 0.2686], [0.0000, 0.6585, 0.8397], [0.2610, 0.2610, 0.1750], [0.0000, 0.0000, 0.4231], [0.0000, 0.3415, 0.3397], [0.6585, 0.6585, 0.3397], [0.0000, 0.4159, 0.0034], [0.7390, 0.7390, 0.6750], [0.0000, 0.7390, 0.1750], [0.3415, 0.0000, 0.3397], [0.0000, 0.5841, 0.5034], [0.7390, 0.0000, 0.1750], [0.3415, 0.3415, 0.8397], [0.0000, 0.2610, 0.6750], [0.4159, 0.4159, 0.5034], [0.3333, 0.6667, 0.2686]]}

***

# 6
{"formula": "Ce2Al15Ru3", "functional": "GGA-PBE", "state": "relaxed", "energy_ev_per_atom": -5.322, "magnetic_moment_mub_per_fu": 1.3, "space_group": "No. 193", "dos_ef_per_ev_cell": 60.4, "lattice": [[-3.8940, -10.9034, -6.1630], [12.6390, 3.4983, -0.2181], [1.4563, -4.7905, 7.5550]], "species": ["Al", "Al", "Al", "Ce", "Al", "Al", "Al", "Al", "Ru", "Al", "Al", "Al", "Al", "Ru", "Al", "Al", "Al", "Al", "Al", "Ru", "Al", "Ru", "Al", "Ce", "Al", "Al", "Al", "Ce", "Ru", "Al", "Al", "Al", "Al", "Al", "Al", "Ru", "Al", "Al", "Al", "Ru", "Al", "Al", "Ce", "Al", "Al", "Al", "Al", "Al", "Al", "Ru", "Al", "Al", "Al", "Al", "Al", "Al", "Al", "Al", "Al", "Al", "Al", "Al", "Ru", "Al", "Ru", "Ce", "Al", "Al", "Ru", "Al", "Al", "Al", "Ce", "Al", "Ru", "Al", "Ce", "Al", "Al", "Ce"], "frac_coords": [[0.1822, 0.5911, 0.0000], [0.8344, 0.1199, 0.7500], [0.6165, 0.6165, 0.3969], [0.0000, 0.0000, 0.2500], [0.1199, 0.8344, 0.7500], [0.4757, 0.7519, 0.7500], [0.1656, 0.2854, 0.7500], [0.7519, 0.2762, 0.2500], [0.7970, 0.2030, 0.0000], [0.2762, 0.5243, 0.7500], [0.6165, 0.0000, 0.6031], [0.5243, 0.2762, 0.7500], [0.3835, 0.3835, 0.8969], [0.2030, 0.7970, 0.0000], [0.2017, 0.2017, 0.0272], [0.4089, 0.5911, 0.5000], [0.8344, 0.7146, 0.2500], [0.7146, 0.8801, 0.7500], [0.7983, 0.0000, 0.0272], [0.5940, 0.7970, 0.0000], [0.3835, 0.0000, 0.1031], [0.7970, 0.5940, 0.0000], [0.0000, 0.2017, 0.9728], [0.3945, 0.3945, 0.2500], [0.3835, 0.3835, 0.6031], [0.0000, 0.7983, 0.0272], [0.1656, 0.8801, 0.2500], [0.0000, 0.3945, 0.7500], [0.2030, 0.4060, 0.5000], [0.7983, 0.0000, 0.4728], [0.2481, 0.5243, 0.2500], [0.7146, 0.8344, 0.2500], [0.2017, 0.0000, 0.5272], [0.8801, 0.1656, 0.2500], [0.4757, 0.7238, 0.2500], [0.4060, 0.2030, 0.5000], [0.2854, 0.1656, 0.7500], [0.4089, 0.5911, 0.0000], [0.6165, 0.0000, 0.8969], [0.7970, 0.5940, 0.5000], [0.7238, 0.4757, 0.2500], [0.6165, 0.6165, 0.1031], [0.6055, 0.6055, 0.7500], [0.0000, 0.6165, 0.8969], [0.0000, 0.3835, 0.3969], [0.1199, 0.2854, 0.2500], [0.8178, 0.4089, 0.5000], [0.7983, 0.7983, 0.5272], [0.7983, 0.7983, 0.9728], [0.5940, 0.7970, 0.5000], [0.0000, 0.7983, 0.4728], [0.5911, 0.1822, 0.0000], [0.0000, 0.6165, 0.6031], [0.7519, 0.4757, 0.7500], [0.1822, 0.5911, 0.5000], [0.5911, 0.4089, 0.5000], [0.0000, 0.2017, 0.5272], [0.4089, 0.8178, 0.5000], [0.0000, 0.3835, 0.1031], [0.2481, 0.7238, 0.7500], [0.3835, 0.0000, 0.3969], [0.8178, 0.4089, 0.0000], [0.7970, 0.2030, 0.5000], [0.2017, 0.2017, 0.4728], [0.2030, 0.4060, 0.0000], [0.0000, 0.6055, 0.2500], [0.5911, 0.1822, 0.5000], [0.4089, 0.8178, 0.0000], [0.4060, 0.2030, 0.0000], [0.2854, 0.1199, 0.2500], [0.8801, 0.7146, 0.7500], [0.2017, 0.0000, 0.9728], [0.3945, 0.0000, 0.7500], [0.5243, 0.2481, 0.2500], [0.2030, 0.7970, 0.5000], [0.7238, 0.2481, 0.7500], [0.0000, 0.0000, 0.7500], [0.2762, 0.7519, 0.2500], [0.5911, 0.4089, 0.0000], [0.6055, 0.0000, 0.2500]]}

***

# 7
{"formula": "Ce2AlRu3", "functional": "GGA-PBE", "state": "relaxed", "energy_ev_per_atom": -7.692, "magnetic_moment_mub_per_fu": 0.0, "space_group": "No. 194", "e_above_lowest_polymorph_ev_per_atom": 0.0483, "dos_ef_per_ev_cell": 14.0, "lattice": [[-3.5617, -4.1120, -1.7027], [5.5936, -0.4864, -0.9841], [0.8833, -3.5761, 6.7885]], "species": ["Al", "Ru", "Ce", "Ru", "Ru", "Ru", "Ru", "Al", "Ce", "Ru", "Ce", "Ce"], "frac_coords": [[0.0000, 0.0000, 0.0000], [0.1692, 0.3384, 0.2500], [0.3333, 0.6667, 0.9416], [0.3384, 0.1692, 0.7500], [0.8308, 0.6616, 0.7500], [0.1692, 0.8308, 0.2500], [0.6616, 0.8308, 0.2500], [0.0000, 0.0000, 0.5000], [0.6667, 0.3333, 0.0584], [0.8308, 0.1692, 0.7500], [0.3333, 0.6667, 0.5584], [0.6667, 0.3333, 0.4416]]}

***

# 8
{"formula": "Ce2AlRu", "functional": "GGA-PBE", "state": "relaxed", "energy_ev_per_atom": -5.963, "magnetic_moment_mub_per_fu": 1.4, "space_group": "No. 166", "dos_ef_per_ev_cell": 10.2, "lattice": [[-1.7896, -0.9611, -3.1604], [0.0088, -3.5765, -1.1504], [-8.7404, -3.1795, 3.6834]], "species": ["Ce", "Ce", "Ru", "Al"], "frac_coords": [[0.1101, 0.1101, 0.6698], [0.8899, 0.8899, 0.3302], [0.5000, 0.5000, 0.5000], [0.0000, 0.0000, 0.0000]]}

***

# 9
{"formula": "Ce8Al2Ru", "functional": "GGA-PBE", "state": "relaxed", "energy_ev_per_atom": -6.033, "magnetic_moment_mub_per_fu": 1.9, "space_group": "No. 12", "dos_ef_per_ev_cell": 28.2, "lattice": [[4.9060, 0.0013, -1.4828], [-0.6826, 6.2450, -2.2626], [-0.0122, -0.0081, 8.8121]], "species": ["Ce", "Ce", "Al", "Ce", "Ce", "Ce", "Ru", "Ce", "Ce", "Al", "Ce"], "frac_coords": [[0.1955, 0.1698, 0.3906], [0.6066, 0.4010, 0.2128], [0.8084, 0.3332, 0.6168], [0.3519, 0.1106, 0.7037], [0.9962, 0.7006, 0.9922], [0.0038, 0.2994, 0.0078], [0.5000, 0.0000, 0.0000], [0.8045, 0.8302, 0.6094], [0.3934, 0.5990, 0.7872], [0.1916, 0.6668, 0.3832], [0.6481, 0.8894, 0.2963]]}

***

# 10
{"formula": "Ce6Al2Ru", "functional": "GGA-PBE", "state": "relaxed", "energy_ev_per_atom": -5.820, "magnetic_moment_mub_per_fu": 3.7, "space_group": "No. 12", "dos_ef_per_ev_cell": 25.4, "lattice": [[-3.8657, -2.9806, -2.3428], [4.5001, -2.2041, -4.6211], [1.2466, -2.6150, 7.4885]], "species": ["Al", "Ce", "Ce", "Ce", "Al", "Ce", "Ce", "Ce", "Ru"], "frac_coords": [[0.6716, 0.6735, 0.3470], [0.8540, 0.1331, 0.7047], [0.5000, 0.7974, 0.0000], [0.8540, 0.5716, 0.7047], [0.3284, 0.3265, 0.6530], [0.1460, 0.4284, 0.2953], [0.5000, 0.2026, 0.0000], [0.1460, 0.8669, 0.2953], [0.0000, 0.0000, 0.0000]]}